Entry 1:
Here is a relaxed structure of ZnH2Br2 from Alexandria. Energies are from PBE.

Summary:
- Total magnetic moment: 0.0 μB per cell
- E above lowest polymorph: 0.000 eV per atom

abc: 10.1701 10.1701 3.2393
angles: 90.00 90.00 90.00
Positions (direct):
Zn  0.0000  0.0000  0.0000
Zn  0.5000  0.5000  0.0000
H  0.1910  0.3090  0.5000
H  0.3090  0.8090  0.5000
H  0.6910  0.1910  0.5000
H  0.8090  0.6910  0.5000
Br  0.1518  0.3482  0.0000
Br  0.3482  0.8482  0.0000
Br  0.6518  0.1518  0.0000
Br  0.8482  0.6518  0.0000

=====

Entry 2:
Here is a relaxed structure of Cs2Ga4Ge5 from Alexandria. Energies are from PBE.

Summary:
- DFT total energy: -3.26 eV per atom
- Total magnetic moment: 0.0 μB per cell

abc: 8.3127 8.3127 8.3127
angles: 136.92 127.85 69.89
Positions (direct):
Cs  0.2456  0.0000  0.2456
Cs  0.7544  0.0000  0.7544
Ga  0.0585  0.3387  0.7197
Ga  0.3810  0.6613  0.7197
Ga  0.6190  0.3387  0.2803
Ga  0.9415  0.6613  0.2803
Ge  0.0000  0.5000  0.5000
Ge  0.2912  0.0066  0.7155
Ge  0.2912  0.5757  0.2845
Ge  0.7088  0.4243  0.7155
Ge  0.7088  0.9934  0.2845

=====

Entry 3:
Here is a relaxed structure of Ca6Hg2Au from Alexandria. Energies are from PBE.

Summary:
- Total magnetic moment: 0.0 μB per cell
- E above lowest polymorph: 0.000 eV per atom

abc: 6.8974 8.2989 12.5210
angles: 90.00 123.26 90.00
Positions (direct):
Ca  0.0873  0.1763  0.4369
Ca  0.0873  0.3237  0.9369
Ca  0.2941  0.6804  0.4388
Ca  0.2941  0.8196  0.9388
Ca  0.3995  0.0359  0.2608
Ca  0.3995  0.4641  0.7608
Ca  0.6005  0.5359  0.2392
Ca  0.6005  0.9641  0.7392
Ca  0.7059  0.1804  0.0612
Ca  0.7059  0.3196  0.5612
Ca  0.9127  0.6763  0.0631
Ca  0.9127  0.8237  0.5631
Hg  0.1889  0.1200  0.7512
Hg  0.1889  0.3800  0.2512
Hg  0.8111  0.6200  0.7488
Hg  0.8111  0.8800  0.2488
Au  0.0000  0.0000  0.0000
Au  0.0000  0.5000  0.5000

=====

- What is the total magnetic moment in the first record?
  0.0 μB per cell